Record 1
Computed, not measured: crystalline SrY at its relaxed geometry at the GGA-PBE level of DFT.

Cell lengths 3.850, 3.850, 12.868 Å; angles 90.06, 98.55, 119.97 degrees
Space group P1 (No. 1)
Unique sites:
1 Sr 0.000 0.000 0.000 x1
2 Sr 0.479 0.244 0.718 x1
3 Y 0.641 0.822 0.465 x1
4 Y 0.833 0.417 0.253 x1

Record 2
Computed, not measured: crystalline SrY3 at its relaxed geometry at the GGA-PBE level of DFT.

Cell lengths 3.698, 3.698, 10.628 Å; angles 90.00, 90.00, 90.00 degrees
Space group P4/mmm (No. 123)
Unique sites:
1 Sr 0.000 0.000 0.000 x1
2 Y 0.000 0.000 0.500 x1
3 Y 0.500 0.500 0.278 x2

Energy of formation from the pure elements in eV/atom, matching the order above: 0.14, 0.12
Volume in Å³/cell, matching the order above: 162.8, 145.3